1.
# LaCe5Ga3 (PBE-GGA, relaxed)
# * total magnetization: 11.21 Bohr magnetons per cell
# * V: 466 Å³/cell
# * raw total energy: -93.0 eV for the cell shown
# * symmetry: P6_3/mcm (193)
data_LaCe5Ga3
_chemical_formula_sum 'La2 Ce10 Ga6'
_cell_length_a 6.5797
_cell_length_b 9.0410
_cell_length_c 9.0409
_cell_angle_alpha 120.00
_cell_angle_beta 90.00
_cell_angle_gamma 90.00
_space_group_name_H-M_alt 'P 1'
_space_group_IT_number 1
_space_group_name_Hall 'P 1'
loop_
_atom_site_label
_atom_site_fract_x
_atom_site_fract_y
_atom_site_fract_z
Ga1 0.7500 0.0000 0.6683
Ga2 0.2500 0.3318 0.0000
Ce1 0.2500 0.9999 0.6601
Ce2 0.2500 0.6602 0.0000
Ga3 0.7500 0.6682 0.0000
Ce3 0.7500 0.3398 0.0000
Ce4 0.0000 0.6665 0.3330
La1 0.0000 0.0000 0.0000
La2 0.5000 0.0000 0.0000
Ce5 0.5000 0.3335 0.6670
Ce6 0.0000 0.3335 0.6670
Ce7 0.2500 0.3399 0.3399
Ce8 0.5000 0.6665 0.3330
Ce9 0.7500 0.6601 0.6601
Ga4 0.7500 0.3317 0.3317
Ga5 0.2500 0.6683 0.6683
Ga6 0.2500 0.0000 0.3317
Ce10 0.7500 0.0001 0.3399

2.
# LaHf3Zr (PBE-GGA, relaxed)
# * total magnetization: 0.00 Bohr magnetons per cell
# * V: 134 Å³/cell
# * raw total energy: -36.3 eV for the cell shown
# * symmetry: Pm-3m (221)
data_LaHf3Zr
_chemical_formula_sum 'La1 Hf3 Zr1'
_cell_length_a 5.1151
_cell_length_b 5.1151
_cell_length_c 5.1151
_cell_angle_alpha 90.00
_cell_angle_beta 90.00
_cell_angle_gamma 90.00
_space_group_name_H-M_alt 'P 1'
_space_group_IT_number 1
_space_group_name_Hall 'P 1'
loop_
_atom_site_label
_atom_site_fract_x
_atom_site_fract_y
_atom_site_fract_z
Hf1 0.0000 0.5000 0.0000
Hf2 0.0000 0.0000 0.5000
La1 0.0000 0.0000 0.0000
Zr1 0.5000 0.5000 0.5000
Hf3 0.5000 0.0000 0.0000

3.
# ReRhCl (PBE-GGA, relaxed)
# * total magnetization: 0.00 Bohr magnetons per cell
# * V: 50 Å³/cell
# * formation energy without anion corrections: 0.42 eV/atom
# * symmetry: I4mm (107)
data_ReRhCl
_chemical_formula_sum 'Re1 Rh1 Cl1'
_cell_length_a 6.3231
_cell_length_b 6.3231
_cell_length_c 6.3231
_cell_angle_alpha 153.67
_cell_angle_beta 153.67
_cell_angle_gamma 37.58
_space_group_name_H-M_alt 'P 1'
_space_group_IT_number 1
_space_group_name_Hall 'P 1'
loop_
_atom_site_label
_atom_site_fract_x
_atom_site_fract_y
_atom_site_fract_z
Rh1 0.6952 0.6952 0.0000
Re1 0.3296 0.3296 0.0000
Cl1 0.9752 0.9752 0.0000

4.
# Na3TcH6 (PBE-GGA, relaxed)
# * total magnetization: 2.00 Bohr magnetons per cell
# * V: 116 Å³/cell
# * raw total energy: -35.0 eV for the cell shown
# * symmetry: C2/m (12)
data_Na3TcH6
_chemical_formula_sum 'Na3 Tc1 H6'
_cell_length_a 5.4432
_cell_length_b 5.4432
_cell_length_c 5.5011
_cell_angle_alpha 89.67
_cell_angle_beta 120.30
_cell_angle_gamma 119.72
_space_group_name_H-M_alt 'P 1'
_space_group_IT_number 1
_space_group_name_Hall 'P 1'
loop_
_atom_site_label
_atom_site_fract_x
_atom_site_fract_y
_atom_site_fract_z
Na1 0.5122 0.2544 0.7666
Tc1 0.0000 0.0000 0.0000
H1 0.4469 0.1756 0.1687
H2 0.9151 0.7800 0.6951
Na2 0.0000 0.5000 0.5000
Na3 0.4878 0.7456 0.2334
H3 0.5531 0.8244 0.8313
H4 0.0849 0.2200 0.3049
H5 0.0069 0.2782 0.8313
H6 0.9931 0.7218 0.1687

5.
# TaCdAu (PBE-GGA, relaxed)
# * total magnetization: 0.00 Bohr magnetons per cell
# * V: 57 Å³/cell
# * raw total energy: -15.7 eV for the cell shown
# * symmetry: P3m1 (156)
data_TaCdAu
_chemical_formula_sum 'Ta1 Cd1 Au1'
_cell_length_a 2.9864
_cell_length_b 2.9864
_cell_length_c 7.3474
_cell_angle_alpha 90.00
_cell_angle_beta 90.00
_cell_angle_gamma 120.00
_space_group_name_H-M_alt 'P 1'
_space_group_IT_number 1
_space_group_name_Hall 'P 1'
loop_
_atom_site_label
_atom_site_fract_x
_atom_site_fract_y
_atom_site_fract_z
Ta1 0.3333 0.6667 0.6786
Cd1 0.6667 0.3333 0.3300
Au1 0.0000 0.0000 0.9914

6.
# Th2NbPb (PBE-GGA, relaxed)
# * total magnetization: 0.00 Bohr magnetons per cell
# * V: 113 Å³/cell
# * raw total energy: -26.8 eV for the cell shown
# * symmetry: R-3m (166)
data_Th2NbPb
_chemical_formula_sum 'Th2 Nb1 Pb1'
_cell_length_a 3.3298
_cell_length_b 3.3298
_cell_length_c 11.9409
_cell_angle_alpha 81.99
_cell_angle_beta 81.99
_cell_angle_gamma 60.00
_space_group_name_H-M_alt 'P 1'
_space_group_IT_number 1
_space_group_name_Hall 'P 1'
loop_
_atom_site_label
_atom_site_fract_x
_atom_site_fract_y
_atom_site_fract_z
Th1 0.0826 0.0826 0.7523
Th2 0.9174 0.9174 0.2477
Nb1 0.0000 0.0000 0.0000
Pb1 0.5000 0.5000 0.5000